Density functional theory data (GGA+U) for a relaxed CsCrH2F6 crystal.

Values from the calculation:
The total energy comes out at -4.95 eV per atom. For the total magnetization, the calculation gives 0.300 μB/atom. Its space group is C2/c (15). The value obtained for the density of states at the Fermi level is 0.000 states/eV per cell.

a b c (Å): 7.3278 7.3278 5.6403
angles (deg): 91.96 91.96 95.80
Last column: nearest neighbours and their distance in Å.
Fractional coordinates of all 20 atoms:
Cs 0.1458 0.8542 0.7500  8 F 3.06-3.34, 4 H 3.06-3.33
Cs 0.8542 0.1458 0.2500  8 F 3.06-3.34, 4 H 3.06-3.33
Cr 0.4365 0.5635 0.2500  6 F 1.92-2.00
Cr 0.5635 0.4365 0.7500  6 F 1.92-2.00
H 0.0502 0.6624 0.2103  1 F 0.99
H 0.3376 0.9498 0.2897  1 F 0.99
H 0.6624 0.0502 0.7103  1 F 0.99
H 0.9498 0.3376 0.7897  1 F 0.99
F 0.0399 0.2542 0.7350  1 H 0.99
F 0.1903 0.5618 0.1215  1 H 1.42
F 0.2542 0.0399 0.2350  1 H 0.99
F 0.3388 0.4690 0.5520  2 Cr 1.99-2.00
F 0.4382 0.8097 0.3785  1 H 1.42
F 0.4690 0.3388 0.0520  2 Cr 1.99-2.00
F 0.5310 0.6612 0.9480  2 Cr 1.99-2.00
F 0.5618 0.1903 0.6215  1 H 1.42
F 0.6612 0.5310 0.4480  2 Cr 1.99-2.00
F 0.7458 0.9601 0.7650  1 H 0.99
F 0.8097 0.4382 0.8785  1 H 1.42
F 0.9601 0.7458 0.2650  1 H 0.99

***

Density functional theory data (GGA+U) for a relaxed CsCrH2F8 crystal.

Values from the calculation:
The total energy comes out at -4.56 eV per atom. For the total magnetization, the calculation gives 0.083 μB/atom. Its space group is P-1 (2).

a b c (Å): 4.9165 5.0511 8.2515
angles (deg): 79.07 89.32 70.01
Last column: nearest neighbours and their distance in Å.
Fractional coordinates of all 12 atoms:
Cs 0.0000 0.0000 0.0000  10 F 3.03-3.33, 2 H 3.25
Cr 0.0000 0.0000 0.5000  6 F 1.76-1.86
H 0.4857 0.3089 0.2241  1 F 0.98
H 0.5143 0.6911 0.7759  1 F 0.98
F 0.2100 0.2218 0.4980  1 Cr 1.76
F 0.2294 0.8100 0.3579  1 Cr 1.80
F 0.2308 0.7435 0.6785  1 H 1.53
F 0.3525 0.3338 0.1311  1 H 0.98
F 0.6475 0.6662 0.8689  1 H 0.98
F 0.7692 0.2565 0.3215  1 H 1.53
F 0.7706 0.1900 0.6421  1 Cr 1.80
F 0.7900 0.7782 0.5020  1 Cr 1.76

***

Density functional theory data (GGA+U) for a relaxed Cs2HfCrF6 crystal.

Values from the calculation:
The total energy comes out at -5.87 eV per atom. For the total magnetization, the calculation gives 0.600 μB/atom. Its space group is Fm-3m (225). The value obtained for the density of states at the Fermi level is 0.000 states/eV per cell.

a b c (Å): 6.9457 6.9457 6.9457
angles (deg): 60.00 60.00 60.00
Last column: nearest neighbours and their distance in Å.
Fractional coordinates of all 10 atoms:
Cs 0.2500 0.2500 0.2500  12 F 3.50
Cs 0.7500 0.7500 0.7500  12 F 3.50
Hf 0.0000 0.0000 0.0000  6 F 2.01
Cr 0.5000 0.5000 0.5000  6 F 2.90
F 0.2046 0.2046 0.7954  1 Hf 2.01
F 0.2046 0.7954 0.2046  1 Hf 2.01
F 0.2046 0.7954 0.7954  1 Hf 2.01
F 0.7954 0.2046 0.2046  1 Hf 2.01
F 0.7954 0.2046 0.7954  1 Hf 2.01
F 0.7954 0.7954 0.2046  1 Hf 2.01

***

Density functional theory data (GGA+U) for a relaxed CsCrI2F crystal.

Values from the calculation:
As for the energy above the lowest structure with this stoichiometry: 0.9544 eV/atom. The total energy comes out at -3.16 eV per atom. For the total magnetization, the calculation gives 0.800 μB/atom. Its space group is P4/mmm (123). The value obtained for the density of states at the Fermi level is 1.404 states/eV per cell.

a b c (Å): 6.0314 6.0314 5.2140
angles (deg): 90.00 90.00 90.00
Last column: nearest neighbours and their distance in Å.
Fractional coordinates of all 5 atoms:
Cs 0.0000 0.0000 0.0000  2 F 2.61
Cr 0.5000 0.5000 0.0000  8 I 3.99, 4 Cs 4.26
I 0.0000 0.5000 0.5000  2 F 3.02
I 0.5000 0.0000 0.5000  2 F 3.02
F 0.0000 0.0000 0.5000  2 Cs 2.61